[1]
An optimized crystal structure of Ca2La2NdY6. Source: the Alexandria database, functional PBE.

Output
Energy of formation (eV per atom): 0.18
DFT total energy (Ha/atom): -0.1854
Crystal system: monoclinic

a = 6.233 Å, b = 10.922 Å, c = 12.255 Å
α = 90.00°, β = 101.35°, γ = 90.00°
Space group C2/m (No. 12)
Symmetry-distinct sites (fractional):
Ca: 0.000 0.164 0.000 (multiplicity 4)
La: 0.000 0.333 0.500 (multiplicity 4)
Nd: 0.000 0.000 0.500 (multiplicity 2)
Y: 0.242 0.000 0.260 (multiplicity 4)
Y: 0.242 0.335 0.255 (multiplicity 8)

[2]
An optimized crystal structure of CaLaNdZn. Source: the Alexandria database, functional PBE.

Output
Energy of formation (eV per atom): 0.02
DFT total energy (Ha/atom): -0.1183
Crystal system: cubic

a = 7.882 Å, b = 7.882 Å, c = 7.882 Å
α = 90.00°, β = 90.00°, γ = 90.00°
Space group F-43m (No. 216)
Symmetry-distinct sites (fractional):
Ca: 0.000 0.000 0.000 (multiplicity 4)
La: 0.250 0.250 0.750 (multiplicity 4)
Nd: 0.250 0.250 0.250 (multiplicity 4)
Zn: 0.000 0.000 0.500 (multiplicity 4)

[3]
An optimized crystal structure of CaLaNdZn. Source: the Alexandria database, functional PBE.

Output
Energy of formation (eV per atom): -0.12
DFT total energy (Ha/atom): -0.1235
Crystal system: tetragonal

a = 3.665 Å, b = 3.665 Å, c = 9.435 Å
α = 90.00°, β = 90.00°, γ = 90.00°
Space group P4mm (No. 99)
Symmetry-distinct sites (fractional):
Ca: 0.000 0.000 0.000 (multiplicity 1)
La: 0.500 0.500 0.325 (multiplicity 1)
Nd: 0.000 0.000 0.606 (multiplicity 1)
Zn: 0.500 0.500 0.800 (multiplicity 1)

[4]
An optimized crystal structure of CaLaNi2. Source: the Alexandria database, functional PBE.

Output
Energy of formation (eV per atom): 0.16
DFT total energy (Ha/atom): -0.1639
Crystal system: cubic

a = 6.737 Å, b = 6.737 Å, c = 6.737 Å
α = 90.00°, β = 90.00°, γ = 90.00°
Space group F-43m (No. 216)
Symmetry-distinct sites (fractional):
Ca: 0.000 0.000 0.000 (multiplicity 4)
La: 0.250 0.250 0.750 (multiplicity 4)
Ni: 0.000 0.000 0.500 (multiplicity 4)
Ni: 0.250 0.250 0.250 (multiplicity 4)

[5]
An optimized crystal structure of CaLaNi. Source: the Alexandria database, functional PBE.

Output
Energy of formation (eV per atom): 0.59
DFT total energy (Ha/atom): -0.1339
Crystal system: cubic

a = 6.817 Å, b = 6.817 Å, c = 6.817 Å
α = 90.00°, β = 90.00°, γ = 90.00°
Space group F-43m (No. 216)
Symmetry-distinct sites (fractional):
Ca: 0.000 0.000 0.000 (multiplicity 4)
La: 0.250 0.250 0.250 (multiplicity 4)
Ni: 0.000 0.000 0.500 (multiplicity 4)

[6]
An optimized crystal structure of CaLaNi4. Source: the Alexandria database, functional PBE.

Output
Energy of formation (eV per atom): -0.27
DFT total energy (Ha/atom): -0.1940
Crystal system: cubic

a = 7.279 Å, b = 7.279 Å, c = 7.279 Å
α = 90.00°, β = 90.00°, γ = 90.00°
Space group F-43m (No. 216)
Symmetry-distinct sites (fractional):
Ca: 0.000 0.000 0.000 (multiplicity 4)
La: 0.250 0.250 0.750 (multiplicity 4)
Ni: 0.126 0.126 0.374 (multiplicity 16)

[7]
An optimized crystal structure of CaLaNi2. Source: the Alexandria database, functional PBE.

Output
Energy of formation (eV per atom): -0.16
DFT total energy (Ha/atom): -0.1758
Crystal system: monoclinic

a = 6.970 Å, b = 6.966 Å, c = 3.456 Å
α = 90.00°, β = 90.17°, γ = 90.00°
Space group C2/m (No. 12)
Symmetry-distinct sites (fractional):
Ca: 0.000 0.000 0.000 (multiplicity 2)
La: 0.000 0.500 0.000 (multiplicity 2)
Ni: 0.250 0.250 0.500 (multiplicity 4)

[8]
An optimized crystal structure of CaLa2Ni2. Source: the Alexandria database, functional PBE.

Output
Energy of formation (eV per atom): 0.05
DFT total energy (Ha/atom): -0.1704
Crystal system: tetragonal

a = 5.147 Å, b = 5.147 Å, c = 10.855 Å
α = 90.00°, β = 90.00°, γ = 90.00°
Space group I4/mmm (No. 139)
Symmetry-distinct sites (fractional):
Ca: 0.000 0.000 0.000 (multiplicity 2)
La: 0.000 0.000 0.334 (multiplicity 4)
Ni: 0.000 0.500 0.250 (multiplicity 4)

[9]
An optimized crystal structure of CaLa2Ni. Source: the Alexandria database, functional PBE.

Output
Energy of formation (eV per atom): 0.25
DFT total energy (Ha/atom): -0.1528
Crystal system: tetragonal

a = 4.591 Å, b = 4.591 Å, c = 10.601 Å
α = 90.00°, β = 90.00°, γ = 90.00°
Space group I4/mmm (No. 139)
Symmetry-distinct sites (fractional):
Ca: 0.000 0.000 0.000 (multiplicity 2)
La: 0.000 0.500 0.250 (multiplicity 4)
Ni: 0.000 0.000 0.500 (multiplicity 2)

[10]
An optimized crystal structure of CaLa2Ni. Source: the Alexandria database, functional PBE.

Output
Energy of formation (eV per atom): -0.12
DFT total energy (Ha/atom): -0.1664
Crystal system: orthorhombic

a = 5.033 Å, b = 12.424 Å, c = 7.724 Å
α = 90.00°, β = 90.00°, γ = 90.00°
Space group Cmcm (No. 63)
Symmetry-distinct sites (fractional):
Ca: 0.000 0.038 0.250 (multiplicity 4)
La: 0.000 0.343 0.035 (multiplicity 8)
Ni: 0.000 0.203 0.750 (multiplicity 4)

[11]
An optimized crystal structure of CaLa2Ni. Source: the Alexandria database, functional PBE.

Output
Energy of formation (eV per atom): 0.24
DFT total energy (Ha/atom): -0.1531
Crystal system: cubic

a = 7.694 Å, b = 7.694 Å, c = 7.694 Å
α = 90.00°, β = 90.00°, γ = 90.00°
Space group Fm-3m (No. 225)
Symmetry-distinct sites (fractional):
Ca: 0.000 0.000 0.000 (multiplicity 4)
La: 0.250 0.250 0.250 (multiplicity 8)
Ni: 0.000 0.000 0.500 (multiplicity 4)

[12]
An optimized crystal structure of CaLa2Ni. Source: the Alexandria database, functional PBE.

Output
Energy of formation (eV per atom): -0.05
DFT total energy (Ha/atom): -0.1640
Crystal system: tetragonal

a = 3.591 Å, b = 3.591 Å, c = 9.259 Å
α = 90.00°, β = 90.00°, γ = 90.00°
Space group P4mm (No. 99)
Symmetry-distinct sites (fractional):
Ca: 0.000 0.000 0.000 (multiplicity 1)
La: 0.000 0.000 0.639 (multiplicity 1)
La: 0.500 0.500 0.329 (multiplicity 1)
Ni: 0.500 0.500 0.797 (multiplicity 1)

[13]
An optimized crystal structure of CaLa2Ni2. Source: the Alexandria database, functional PBE.

Output
Energy of formation (eV per atom): -0.07
DFT total energy (Ha/atom): -0.1747
Crystal system: tetragonal

a = 5.377 Å, b = 5.377 Å, c = 8.936 Å
α = 90.00°, β = 90.00°, γ = 90.00°
Space group I4/mmm (No. 139)
Symmetry-distinct sites (fractional):
Ca: 0.000 0.000 0.000 (multiplicity 2)
La: 0.000 0.500 0.250 (multiplicity 4)
Ni: 0.000 0.000 0.366 (multiplicity 4)

[14]
An optimized crystal structure of CaLa2Ni. Source: the Alexandria database, functional PBE.

Output
Energy of formation (eV per atom): -0.11
DFT total energy (Ha/atom): -0.1660
Crystal system: trigonal

a = 3.9920 Å, b = 3.9920 Å, c = 29.8311 Å
α = 90.00°, β = 90.00°, γ = 120.00°
Space group R-3m (No. 166, hexagonal axes)
Symmetry-distinct sites (fractional):
Ca: 0.0000 0.0000 0.0000 (multiplicity 3)
La: 0.0000 0.0000 0.2215 (multiplicity 6)
Ni: 0.0000 0.0000 0.5000 (multiplicity 3)

[15]
An optimized crystal structure of CaLa2Ni. Source: the Alexandria database, functional PBE.

Output
Energy of formation (eV per atom): -0.10
DFT total energy (Ha/atom): -0.1659
Crystal system: trigonal

a = 4.0324 Å, b = 4.0324 Å, c = 29.6716 Å
α = 90.00°, β = 90.00°, γ = 120.00°
Space group R3m (No. 160, hexagonal axes)
Symmetry-distinct sites (fractional):
Ca: 0.0000 0.0000 0.0000 (multiplicity 3)
La: 0.0000 0.0000 0.5527 (multiplicity 3)
La: 0.0000 0.0000 0.7782 (multiplicity 3)
Ni: 0.0000 0.0000 0.1651 (multiplicity 3)

[16]
An optimized crystal structure of CaLaNi2. Source: the Alexandria database, functional PBE.

Output
Energy of formation (eV per atom): -0.16
DFT total energy (Ha/atom): -0.1759
Crystal system: monoclinic

a = 3.529 Å, b = 3.484 Å, c = 6.952 Å
α = 90.00°, β = 90.18°, γ = 90.00°
Space group P2/m (No. 10)
Symmetry-distinct sites (fractional):
Ca: 0.000 0.000 0.000 (multiplicity 1)
La: 0.000 0.000 0.500 (multiplicity 1)
Ni: 0.500 0.500 0.273 (multiplicity 2)

[17]
An optimized crystal structure of CaLa2Ni9. Source: the Alexandria database, functional PBE.

Output
Energy of formation (eV per atom): -0.26
DFT total energy (Ha/atom): -0.2052
Crystal system: trigonal

a = 5.0353 Å, b = 5.0353 Å, c = 24.8489 Å
α = 90.00°, β = 90.00°, γ = 120.00°
Space group R-3m (No. 166, hexagonal axes)
Symmetry-distinct sites (fractional):
Ca: 0.0000 0.0000 0.0000 (multiplicity 3)
La: 0.0000 0.0000 0.1366 (multiplicity 6)
Ni: 0.0000 0.0000 0.3324 (multiplicity 6)
Ni: 0.0000 0.0000 0.5000 (multiplicity 3)
Ni: 0.0009 0.5004 0.0796 (multiplicity 18)

[18]
An optimized crystal structure of CaLaNi. Source: the Alexandria database, functional PBE.

Output
Energy of formation (eV per atom): -0.04
DFT total energy (Ha/atom): -0.1572
Crystal system: cubic

a = 6.972 Å, b = 6.972 Å, c = 6.972 Å
α = 90.00°, β = 90.00°, γ = 90.00°
Space group F-43m (No. 216)
Symmetry-distinct sites (fractional):
Ca: 0.000 0.000 0.000 (multiplicity 4)
La: 0.000 0.000 0.500 (multiplicity 4)
Ni: 0.250 0.250 0.250 (multiplicity 4)

[19]
An optimized crystal structure of CaLa2Ni. Source: the Alexandria database, functional PBE.

Output
Energy of formation (eV per atom): -0.10
DFT total energy (Ha/atom): -0.1658
Crystal system: orthorhombic

a = 5.107 Å, b = 5.168 Å, c = 9.595 Å
α = 90.00°, β = 90.00°, γ = 90.00°
Space group Cmmm (No. 65)
Symmetry-distinct sites (fractional):
Ca: 0.000 0.000 0.000 (multiplicity 2)
La: 0.000 0.500 0.332 (multiplicity 4)
Ni: 0.000 0.000 0.500 (multiplicity 2)

[20]
An optimized crystal structure of Ca3LaNi. Source: the Alexandria database, functional PBE.

Output
Energy of formation (eV per atom): 0.08
DFT total energy (Ha/atom): -0.1200
Crystal system: cubic

a = 5.545 Å, b = 5.545 Å, c = 5.545 Å
α = 90.00°, β = 90.00°, γ = 90.00°
Space group Pm-3m (No. 221)
Symmetry-distinct sites (fractional):
Ca: 0.000 0.000 0.500 (multiplicity 3)
La: 0.500 0.500 0.500 (multiplicity 1)
Ni: 0.000 0.000 0.000 (multiplicity 1)

[21]
An optimized crystal structure of Ca3LaNi. Source: the Alexandria database, functional PBE.

Output
Energy of formation (eV per atom): 1.42
DFT total energy (Ha/atom): -0.0706
Crystal system: cubic

a = 5.677 Å, b = 5.677 Å, c = 5.677 Å
α = 90.00°, β = 90.00°, γ = 90.00°
Space group Pm-3m (No. 221)
Symmetry-distinct sites (fractional):
Ca: 0.000 0.000 0.500 (multiplicity 3)
La: 0.000 0.000 0.000 (multiplicity 1)
Ni: 0.500 0.500 0.500 (multiplicity 1)

[22]
An optimized crystal structure of CaLaNi. Source: the Alexandria database, functional PBE.

Output
Energy of formation (eV per atom): -0.11
DFT total energy (Ha/atom): -0.1597
Crystal system: hexagonal

a = 6.9696 Å, b = 6.9696 Å, c = 12.1686 Å
α = 90.00°, β = 90.00°, γ = 120.00°
Space group P6_222 (No. 180)
Symmetry-distinct sites (fractional):
Ca: 0.0000 0.0000 0.0000 (multiplicity 3)
Ca: 0.0000 0.5000 0.1667 (multiplicity 3)
La: 0.0000 0.5000 0.4627 (multiplicity 6)
Ni: 0.2168 0.6084 0.6667 (multiplicity 6)

[23]
An optimized crystal structure of CaLaNi. Source: the Alexandria database, functional PBE.

Output
Energy of formation (eV per atom): -0.22
DFT total energy (Ha/atom): -0.1638
Crystal system: monoclinic

a = 3.904 Å, b = 4.200 Å, c = 10.904 Å
α = 90.00°, β = 100.17°, γ = 90.00°
Space group P2_1/m (No. 11)
Symmetry-distinct sites (fractional):
Ca: 0.189 0.250 0.379 (multiplicity 2)
La: 0.431 0.250 0.862 (multiplicity 2)
Ni: 0.041 0.250 0.079 (multiplicity 2)

[24]
An optimized crystal structure of CaLaNi2. Source: the Alexandria database, functional PBE.

Output
Energy of formation (eV per atom): -0.01
DFT total energy (Ha/atom): -0.1704
Crystal system: orthorhombic

a = 4.050 Å, b = 4.082 Å, c = 5.705 Å
α = 90.00°, β = 90.00°, γ = 90.00°
Space group Pmm2 (No. 25)
Symmetry-distinct sites (fractional):
Ca: 0.000 0.000 0.000 (multiplicity 1)
La: 0.500 0.500 0.502 (multiplicity 1)
Ni: 0.000 0.000 0.500 (multiplicity 1)
Ni: 0.500 0.500 0.002 (multiplicity 1)

[25]
An optimized crystal structure of Ca2La2Ni. Source: the Alexandria database, functional PBE.

Output
Energy of formation (eV per atom): 0.23
DFT total energy (Ha/atom): -0.1360
Crystal system: tetragonal

a = 7.234 Å, b = 7.234 Å, c = 6.160 Å
α = 90.00°, β = 90.00°, γ = 90.00°
Space group P4/mbm (No. 127)
Symmetry-distinct sites (fractional):
Ca: 0.166 0.334 0.000 (multiplicity 4)
La: 0.167 0.667 0.500 (multiplicity 4)
Ni: 0.000 0.000 0.000 (multiplicity 2)

[26]
An optimized crystal structure of Ca2LaNi9. Source: the Alexandria database, functional PBE.

Output
Energy of formation (eV per atom): -0.24
DFT total energy (Ha/atom): -0.1954
Crystal system: trigonal

a = 5.0353 Å, b = 5.0353 Å, c = 24.4128 Å
α = 90.00°, β = 90.00°, γ = 120.00°
Space group R-3m (No. 166, hexagonal axes)
Symmetry-distinct sites (fractional):
Ca: 0.0000 0.0000 0.1419 (multiplicity 6)
La: 0.0000 0.0000 0.0000 (multiplicity 3)
Ni: 0.0000 0.0000 0.3324 (multiplicity 6)
Ni: 0.0000 0.0000 0.5000 (multiplicity 3)
Ni: 0.0022 0.5011 0.0815 (multiplicity 18)

[27]
An optimized crystal structure of CaLa4Ni. Source: the Alexandria database, functional PBE.

Output
Energy of formation (eV per atom): 0.56
DFT total energy (Ha/atom): -0.1477
Crystal system: cubic

a = 9.309 Å, b = 9.309 Å, c = 9.309 Å
α = 90.00°, β = 90.00°, γ = 90.00°
Space group F-43m (No. 216)
Symmetry-distinct sites (fractional):
Ca: 0.000 0.000 0.000 (multiplicity 4)
La: 0.122 0.122 0.622 (multiplicity 16)
Ni: 0.250 0.250 0.250 (multiplicity 4)